## Cd3Ge5Au12 (PBE)

Data for a relaxed Cd3Ge5Au12 crystal.

symmetry: Ia-3d
total energy: -63.4 eV per formula unit
volume: 23.13 A^3/atom
ΔE_f: 1.99 kcal/mol of atoms

abc: 13.395 13.395 13.395
angles: 109.47 109.47 109.47
Fractional positions:
1 Cd 0.625 0.250 0.375
2 Ge 0.750 0.625 0.375
3 Au 0.554 0.222 0.135
4 Ge 0.375 0.125 0.750
5 Au 0.668 0.222 0.587
6 Ge 0.875 0.625 0.750
7 Au 0.446 0.668 0.081
8 Au 0.135 0.722 0.554
9 Au 0.635 0.581 0.913
10 Cd 0.750 0.375 0.125
11 Au 0.332 0.778 0.413
12 Au 0.722 0.135 0.054
13 Au 0.413 0.278 0.332
14 Cd 0.375 0.750 0.625
15 Cd 0.750 0.875 0.625
16 Au 0.081 0.168 0.446
17 Au 0.054 0.419 0.832
18 Au 0.832 0.919 0.054
19 Ge 0.125 0.375 0.250
20 Au 0.278 0.413 0.832
21 Ge 0.000 0.000 0.000
22 Au 0.413 0.135 0.581
23 Au 0.332 0.554 0.419
24 Au 0.081 0.913 0.135
25 Ge 0.625 0.875 0.250
26 Cd 0.375 0.625 0.250
27 Au 0.913 0.832 0.778
28 Au 0.668 0.446 0.581
29 Au 0.168 0.081 0.946
30 Ge 0.250 0.375 0.625
31 Cd 0.875 0.125 0.250
32 Au 0.087 0.168 0.222
33 Au 0.419 0.054 0.332
34 Au 0.919 0.832 0.554
35 Au 0.222 0.668 0.087
36 Au 0.581 0.946 0.668
37 Ge 0.500 0.500 0.000
38 Au 0.778 0.332 0.913
39 Ge 0.500 0.000 0.000
40 Au 0.135 0.413 0.081
41 Ge 0.375 0.250 0.125
42 Cd 0.250 0.125 0.375
43 Au 0.946 0.365 0.278
44 Ge 0.625 0.750 0.875
45 Cd 0.250 0.625 0.875
46 Ge 0.250 0.875 0.125
47 Ge 0.000 0.500 0.000
48 Ge 0.875 0.250 0.625
49 Au 0.722 0.587 0.168
50 Au 0.554 0.332 0.919
51 Au 0.581 0.635 0.413
52 Au 0.222 0.554 0.635
53 Au 0.587 0.865 0.419
54 Ge 0.750 0.125 0.875
55 Au 0.778 0.446 0.365
56 Cd 0.625 0.375 0.750
57 Au 0.865 0.587 0.919
58 Ge 0.000 0.000 0.500
59 Au 0.946 0.581 0.168
60 Ge 0.500 0.500 0.500
61 Cd 0.125 0.250 0.875
62 Au 0.419 0.365 0.587
63 Au 0.278 0.865 0.946
64 Au 0.087 0.919 0.365
65 Ge 0.125 0.750 0.375
66 Au 0.446 0.778 0.865
67 Cd 0.875 0.750 0.125
68 Au 0.913 0.081 0.635
69 Au 0.865 0.278 0.446
70 Au 0.635 0.054 0.222
71 Au 0.365 0.946 0.778
72 Ge 0.500 0.000 0.500
73 Au 0.168 0.087 0.722
74 Cd 0.125 0.875 0.750
75 Au 0.587 0.722 0.668
76 Au 0.832 0.913 0.278
77 Ge 0.000 0.500 0.500
78 Au 0.919 0.087 0.865
79 Au 0.054 0.635 0.722
80 Au 0.365 0.419 0.087